[1]
{"formula": "CuGeB", "functional": "PBE-GGA", "state": "relaxed", "lattice_angstrom": [[3.048, 0.000, 0.000], [-0.085, 4.580, 0.000], [-1.310, -1.906, 5.744]], "species": ["Cu", "Cu", "Ge", "Ge", "B", "B"], "frac_coords": [[0.131, 0.173, 0.215], [0.869, 0.827, 0.785], [0.390, 0.267, 0.815], [0.610, 0.733, 0.185], [0.272, 0.487, 0.553], [0.728, 0.513, 0.447]], "magnetic_moment_mub_per_fu": 0.00, "ef_mev_per_atom": 258}



[2]
{"formula": "CuGeB", "functional": "PBE-GGA", "state": "relaxed", "lattice_angstrom": [[2.773, 0.000, 0.000], [0.000, 2.773, 0.000], [0.000, 0.000, 9.521]], "species": ["Cu", "Cu", "Ge", "Ge", "B", "B"], "frac_coords": [[0.250, 0.250, 0.087], [0.750, 0.750, 0.913], [0.250, 0.250, 0.711], [0.750, 0.750, 0.289], [0.250, 0.750, 0.500], [0.750, 0.250, 0.500]], "magnetic_moment_mub_per_fu": 0.00, "ef_mev_per_atom": 602}



[3]
{"formula": "CuGeB2H", "functional": "PBE-GGA", "state": "relaxed", "lattice_angstrom": [[4.003, 0.000, 0.000], [0.000, 4.003, 0.000], [0.000, 0.000, 3.293]], "species": ["Cu", "Ge", "B", "B", "H"], "frac_coords": [[0.000, 0.000, 0.000], [0.500, 0.500, 0.500], [0.000, 0.500, 0.000], [0.500, 0.000, 0.000], [0.000, 0.000, 0.500]], "magnetic_moment_mub_per_fu": 0.00, "total_energy_ev_per_atom": -3.943}



[4]
{"formula": "CuGeB2H", "functional": "PBE-GGA", "state": "relaxed", "lattice_angstrom": [[4.059, 0.000, 0.000], [0.000, 4.059, 0.000], [0.000, 0.000, 4.713]], "species": ["Cu", "Ge", "B", "B", "H"], "frac_coords": [[0.000, 0.000, 0.000], [0.000, 0.000, 0.500], [0.000, 0.500, 0.500], [0.500, 0.000, 0.500], [0.500, 0.500, 0.000]], "magnetic_moment_mub_per_fu": 0.00, "total_energy_ev_per_atom": -3.256}



[5]
{"formula": "HfCuGe2B", "functional": "PBE-GGA", "state": "relaxed", "lattice_angstrom": [[4.325, 0.000, 0.000], [0.000, 4.325, 0.000], [0.000, 0.000, 5.110]], "species": ["Hf", "Cu", "Ge", "Ge", "B"], "frac_coords": [[0.000, 0.000, 0.000], [0.000, 0.000, 0.500], [0.000, 0.500, 0.500], [0.500, 0.000, 0.500], [0.500, 0.500, 0.000]], "magnetic_moment_mub_per_fu": 0.00, "ef_mev_per_atom": 1085}



[6]
{"formula": "Cu2GeBI", "functional": "PBE-GGA", "state": "relaxed", "lattice_angstrom": [[4.995, 0.000, 0.000], [0.000, 4.995, 0.000], [0.000, 0.000, 3.799]], "species": ["Cu", "Cu", "Ge", "B", "I"], "frac_coords": [[0.000, 0.500, 0.000], [0.500, 0.000, 0.000], [0.000, 0.000, 0.000], [0.000, 0.000, 0.500], [0.500, 0.500, 0.500]], "magnetic_moment_mub_per_fu": 0.00, "e_form_raw_ev_per_atom": 0.879}



[7]
{"formula": "Mn2CuGeB", "functional": "PBE-GGA", "state": "relaxed", "lattice_angstrom": [[4.713, 0.000, 0.000], [0.000, 4.713, 0.000], [0.000, 0.000, 3.780]], "species": ["Mn", "Mn", "Cu", "Ge", "B"], "frac_coords": [[0.000, 0.500, 0.000], [0.500, 0.000, 0.000], [0.000, 0.000, 0.500], [0.500, 0.500, 0.000], [0.500, 0.500, 0.500]], "magnetic_moment_mub_per_fu": 7.36, "ef_mev_per_atom": 1160}



[8]
{"formula": "Cu2Ni5GeB2", "functional": "PBE-GGA", "state": "relaxed", "lattice_angstrom": [[8.533, 0.000, 0.000], [0.000, 8.533, 0.000], [0.000, 0.000, 2.875]], "species": ["Cu", "Cu", "Cu", "Cu", "Ni", "Ni", "Ni", "Ni", "Ni", "Ni", "Ni", "Ni", "Ni", "Ni", "Ge", "Ge", "B", "B", "B", "B"], "frac_coords": [[0.176, 0.324, 0.000], [0.324, 0.824, 0.000], [0.676, 0.176, 0.000], [0.824, 0.676, 0.000], [0.000, 0.500, 0.500], [0.070, 0.782, 0.500], [0.218, 0.070, 0.500], [0.282, 0.570, 0.500], [0.430, 0.282, 0.500], [0.500, 0.000, 0.500], [0.570, 0.718, 0.500], [0.718, 0.430, 0.500], [0.782, 0.930, 0.500], [0.930, 0.218, 0.500], [0.000, 0.000, 0.000], [0.500, 0.500, 0.000], [0.124, 0.624, 0.000], [0.376, 0.124, 0.000], [0.624, 0.876, 0.000], [0.876, 0.376, 0.000]], "magnetic_moment_mub_per_fu": 0.00, "ef_mev_per_atom": -173}



[9]
{"formula": "CuGe2BO", "functional": "PBE-GGA", "state": "relaxed", "lattice_angstrom": [[4.246, 0.000, 0.000], [0.000, 4.246, 0.000], [0.000, 0.000, 3.880]], "species": ["Cu", "Ge", "Ge", "B", "O"], "frac_coords": [[0.000, 0.000, 0.000], [0.000, 0.500, 0.500], [0.500, 0.000, 0.500], [0.000, 0.000, 0.500], [0.500, 0.500, 0.000]], "magnetic_moment_mub_per_fu": 0.00, "e_form_raw_ev_per_atom": 0.519}



[10]
{"formula": "CuGeBPt2", "functional": "PBE-GGA", "state": "relaxed", "lattice_angstrom": [[4.760, 0.000, 0.000], [0.000, 4.760, 0.000], [0.000, 0.000, 3.770]], "species": ["Cu", "Ge", "B", "Pt", "Pt"], "frac_coords": [[0.000, 0.000, 0.000], [0.500, 0.500, 0.500], [0.500, 0.500, 0.000], [0.000, 0.500, 0.500], [0.500, 0.000, 0.500]], "magnetic_moment_mub_per_fu": 0.00, "ef_mev_per_atom": 974}



[11]
{"formula": "CuSiGe2B", "functional": "PBE-GGA", "state": "relaxed", "lattice_angstrom": [[4.424, 0.000, 0.000], [0.000, 4.424, 0.000], [0.000, 0.000, 3.973]], "species": ["Cu", "Si", "Ge", "Ge", "B"], "frac_coords": [[0.000, 0.000, 0.000], [0.500, 0.500, 0.000], [0.000, 0.500, 0.500], [0.500, 0.000, 0.500], [0.000, 0.000, 0.500]], "magnetic_moment_mub_per_fu": 0.00, "e_form_raw_ev_per_atom": 0.732}



[12]
{"formula": "YCuGeB2", "functional": "PBE-GGA", "state": "relaxed", "lattice_angstrom": [[4.213, 0.000, 0.000], [0.000, 4.213, 0.000], [0.000, 0.000, 4.448]], "species": ["Y", "Cu", "Ge", "B", "B"], "frac_coords": [[0.000, 0.000, 0.000], [0.500, 0.500, 0.000], [0.500, 0.500, 0.500], [0.000, 0.500, 0.500], [0.500, 0.000, 0.500]], "magnetic_moment_mub_per_fu": 0.00, "ef_mev_per_atom": 819}



[13]
{"formula": "CuB3H12", "functional": "PBE-GGA", "state": "relaxed", "lattice_angstrom": [[3.608, 2.083, 7.675], [-3.608, 2.083, 7.675], [0.000, -4.166, 7.675]], "species": ["Cu", "Cu", "B", "B", "B", "B", "B", "B", "H", "H", "H", "H", "H", "H", "H", "H", "H", "H", "H", "H", "H", "H", "H", "H", "H", "H", "H", "H", "H", "H", "H", "H"], "frac_coords": [[0.250, 0.250, 0.250], [0.750, 0.750, 0.750], [0.047, 0.750, 0.453], [0.250, 0.547, 0.953], [0.453, 0.047, 0.750], [0.547, 0.953, 0.250], [0.750, 0.453, 0.047], [0.953, 0.250, 0.547], [0.023, 0.688, 0.649], [0.089, 0.665, 0.910], [0.090, 0.911, 0.335], [0.149, 0.188, 0.523], [0.165, 0.589, 0.410], [0.188, 0.523, 0.149], [0.312, 0.351, 0.977], [0.335, 0.090, 0.911], [0.351, 0.977, 0.312], [0.410, 0.165, 0.589], [0.411, 0.590, 0.835], [0.477, 0.851, 0.812], [0.523, 0.149, 0.188], [0.589, 0.410, 0.165], [0.590, 0.835, 0.411], [0.649, 0.023, 0.688], [0.665, 0.910, 0.089], [0.688, 0.649, 0.023], [0.812, 0.477, 0.851], [0.835, 0.411, 0.590], [0.851, 0.812, 0.477], [0.910, 0.089, 0.665], [0.911, 0.335, 0.090], [0.977, 0.312, 0.351]], "magnetic_moment_mub_per_fu": 2.03, "total_energy_ev_per_atom": -3.848}



[14]
{"formula": "CuB2H6", "functional": "PBE-GGA", "state": "relaxed", "lattice_angstrom": [[3.808, 0.000, 0.000], [-1.785, 4.283, 0.000], [-1.723, -1.525, 5.420]], "species": ["Cu", "B", "B", "H", "H", "H", "H", "H", "H"], "frac_coords": [[0.000, 0.000, 0.000], [0.446, 0.007, 0.839], [0.554, 0.993, 0.161], [0.113, 0.840, 0.672], [0.394, 0.729, 0.195], [0.447, 0.207, 0.240], [0.553, 0.793, 0.760], [0.606, 0.271, 0.805], [0.887, 0.160, 0.328]], "magnetic_moment_mub_per_fu": 0.00, "total_energy_ev_per_atom": -4.068}



[15]
{"formula": "CuB2H6", "functional": "PBE-GGA", "state": "relaxed", "lattice_angstrom": [[0.000, 2.900, 2.900], [2.900, 0.000, 2.900], [2.900, 2.900, 0.000]], "species": ["Cu", "B", "B", "H", "H", "H", "H", "H", "H"], "frac_coords": [[0.000, 0.000, 0.000], [0.250, 0.250, 0.250], [0.750, 0.750, 0.750], [0.294, 0.294, 0.706], [0.294, 0.706, 0.294], [0.294, 0.706, 0.706], [0.706, 0.294, 0.294], [0.706, 0.294, 0.706], [0.706, 0.706, 0.294]], "magnetic_moment_mub_per_fu": 0.00, "total_energy_ev_per_atom": -2.898}



[16]
{"formula": "Cu2BH", "functional": "PBE-GGA", "state": "relaxed", "lattice_angstrom": [[0.000, 2.565, 2.565], [2.565, 0.000, 2.565], [2.565, 2.565, 0.000]], "species": ["Cu", "Cu", "B", "H"], "frac_coords": [[0.250, 0.250, 0.250], [0.750, 0.750, 0.750], [0.000, 0.000, 0.000], [0.500, 0.500, 0.500]], "magnetic_moment_mub_per_fu": 0.00, "total_energy_ev_per_atom": -3.865}



[17]
{"formula": "CuBH", "functional": "PBE-GGA", "state": "relaxed", "lattice_angstrom": [[5.277, -1.250, 0.000], [5.277, 1.250, 0.000], [-0.032, 0.000, 3.586]], "species": ["Cu", "Cu", "B", "B", "H", "H"], "frac_coords": [[0.133, 0.133, 0.000], [0.867, 0.867, 0.000], [0.419, 0.419, 0.501], [0.581, 0.581, 0.499], [0.151, 0.151, 0.500], [0.849, 0.849, 0.500]], "magnetic_moment_mub_per_fu": 0.00, "total_energy_ev_per_atom": -4.181}



[18]
{"formula": "CuBH2", "functional": "PBE-GGA", "state": "relaxed", "lattice_angstrom": [[-1.700, 1.700, 4.704], [1.700, -1.700, 4.704], [1.700, 1.700, -4.704]], "species": ["Cu", "Cu", "B", "B", "H", "H", "H", "H"], "frac_coords": [[0.375, 0.625, 0.750], [0.625, 0.375, 0.250], [0.125, 0.875, 0.250], [0.875, 0.125, 0.750], [0.000, 0.000, 0.000], [0.000, 0.000, 0.500], [0.000, 0.500, 0.000], [0.500, 0.000, 0.500]], "magnetic_moment_mub_per_fu": 0.00, "total_energy_ev_per_atom": -3.581}



[19]
{"formula": "CuBH2", "functional": "PBE-GGA", "state": "relaxed", "lattice_angstrom": [[0.000, 2.342, 2.342], [2.342, 0.000, 2.342], [2.342, 2.342, 0.000]], "species": ["Cu", "B", "H", "H"], "frac_coords": [[0.000, 0.000, 0.000], [0.500, 0.500, 0.500], [0.250, 0.250, 0.250], [0.750, 0.750, 0.750]], "magnetic_moment_mub_per_fu": 0.00, "total_energy_ev_per_atom": -3.158}



[20]
{"formula": "Cu2BH", "functional": "PBE-GGA", "state": "relaxed", "lattice_angstrom": [[-2.418, 2.418, 3.246], [2.418, -2.418, 3.246], [2.418, 2.418, -3.246]], "species": ["Cu", "Cu", "Cu", "Cu", "B", "B", "H", "H"], "frac_coords": [[0.080, 0.125, 0.455], [0.375, 0.920, 0.045], [0.670, 0.625, 0.545], [0.875, 0.330, 0.955], [0.250, 0.750, 0.500], [0.500, 0.500, 0.000], [0.000, 0.000, 0.000], [0.750, 0.250, 0.500]], "magnetic_moment_mub_per_fu": 0.00, "total_energy_ev_per_atom": -3.940}



[21]
{"formula": "KCu2BH", "functional": "PBE-GGA", "state": "relaxed", "lattice_angstrom": [[3.922, 0.000, 0.000], [0.000, 3.922, 0.000], [0.000, 0.000, 5.487]], "species": ["K", "Cu", "Cu", "B", "H"], "frac_coords": [[0.000, 0.000, 0.000], [0.000, 0.500, 0.500], [0.500, 0.000, 0.500], [0.500, 0.500, 0.500], [0.500, 0.500, 0.000]], "magnetic_moment_mub_per_fu": 0.00, "total_energy_ev_per_atom": -3.343}



[22]
{"formula": "KCuBH6", "functional": "PBE-GGA", "state": "relaxed", "lattice_angstrom": [[4.440, 0.000, 0.000], [1.667, 4.236, 0.000], [0.132, 1.662, 5.553]], "species": ["K", "Cu", "B", "H", "H", "H", "H", "H", "H"], "frac_coords": [[0.000, 0.000, 0.000], [0.567, 0.813, 0.546], [0.112, 0.275, 0.442], [0.049, 0.023, 0.512], [0.059, 0.404, 0.228], [0.371, 0.264, 0.532], [0.539, 0.893, 0.270], [0.612, 0.699, 0.827], [0.913, 0.466, 0.558]], "magnetic_moment_mub_per_fu": 0.00, "total_energy_ev_per_atom": -3.574}



[23]
{"formula": "Cu2BMoH", "functional": "PBE-GGA", "state": "relaxed", "lattice_angstrom": [[3.811, 0.000, 0.000], [0.000, 3.811, 0.000], [0.000, 0.000, 4.225]], "species": ["Cu", "Cu", "B", "Mo", "H"], "frac_coords": [[0.000, 0.500, 0.000], [0.500, 0.000, 0.000], [0.000, 0.000, 0.000], [0.000, 0.000, 0.500], [0.500, 0.500, 0.500]], "magnetic_moment_mub_per_fu": 0.00, "total_energy_ev_per_atom": -5.052}



[24]
{"formula": "CuBHN2", "functional": "PBE-GGA", "state": "relaxed", "lattice_angstrom": [[3.641, 0.000, 0.000], [0.000, 3.641, 0.000], [0.000, 0.000, 2.684]], "species": ["Cu", "B", "H", "N", "N"], "frac_coords": [[0.000, 0.000, 0.000], [0.500, 0.500, 0.000], [0.500, 0.500, 0.500], [0.000, 0.500, 0.500], [0.500, 0.000, 0.500]], "magnetic_moment_mub_per_fu": 0.00, "total_energy_ev_per_atom": -4.177}



[25]
{"formula": "CuB2HN", "functional": "PBE-GGA", "state": "relaxed", "lattice_angstrom": [[3.856, 0.000, 0.000], [0.000, 3.856, 0.000], [0.000, 0.000, 3.812]], "species": ["Cu", "B", "B", "H", "N"], "frac_coords": [[0.000, 0.000, 0.000], [0.000, 0.500, 0.000], [0.500, 0.000, 0.000], [0.500, 0.500, 0.500], [0.000, 0.000, 0.500]], "magnetic_moment_mub_per_fu": 1.43, "total_energy_ev_per_atom": -3.581}